Here is a relaxed BaGaSn crystal from Alexandria via LeMat-Bulk. Energies are from PBE-GGA.

Computed properties:
ΔH_f (0 K) ... -0.56 eV per atom

```
BaGaSn
1.0
4.658 0.000 0.000
-2.329 4.034 0.000
0.000 0.000 5.215
Ba Ga Sn
1 1 1
Cartesian
0.000 0.000 0.000 Ba
0.000 2.690 3.017 Ga
2.329 1.345 2.433 Sn
```

=====

Here is a relaxed Sm4PBr5 crystal from Alexandria via LeMat-Bulk. Energies are from PBE-GGA.

Computed properties:
ΔE_f (raw) ... -1.6619 eV/atom

```
Sm4PBr5
1.0
9.189 -2.038 0.000
9.189 2.038 0.000
-1.925 0.000 8.232
Sm P Br
4 1 5
Cartesian
17.950 0.000 1.800 Sm
-1.497 0.000 6.432 Sm
4.671 0.000 7.574 Sm
11.782 0.000 0.659 Sm
9.189 0.000 0.000 P
2.398 0.000 2.774 Br
1.549 0.000 6.873 Br
8.226 0.000 4.116 Br
14.904 0.000 1.360 Br
14.055 0.000 5.458 Br
```

=====

| no. | electronic total energy (eV per atom) |
| --- | --- |
| 1 | -3.5394 |
| 2 | -4.9269 |